Sb2PdRh2 | GGA-PBE | relaxed

```
10
Lattice="7.403 0.000 0.000 0.000 7.403 0.000 0.000 0.000 3.271" Properties=species:S:1:pos:R:3 pbc="T T T"
Sb 1.211 2.491 0.000
Sb 2.491 6.192 0.000
Sb 4.912 1.211 0.000
Sb 6.192 4.912 0.000
Pd 0.000 0.000 1.636
Pd 3.701 3.701 1.636
Rh 1.005 4.706 1.636
Rh 2.697 1.005 1.636
Rh 4.706 6.398 1.636
Rh 6.398 2.697 1.636
```

Output
The uncorrected formation energy comes out at -267 meV/atom. Its space-group type is P4/mbm, No. 127. The value obtained for the excess energy over the best structure of this formula in the dataset is 6 meV/atom. The total energy comes out at -29.47 eV/f.u.